Entry from the Alexandria database: a geometry-optimized K2CaCoO4 structure (PBE with a Hubbard U).

Its volume is 1491.68 Å³ per cell. Its total DFT energy (no corrections) is -4.9993 eV per atom.

It has space group Fddd (No. 70, origin choice 2), with a = 5.597 Å, b = 11.982 Å, c = 22.243 Å, α = 90.00°, β = 90.00° and γ = 90.00°. Symmetry generates all atoms from K at (0.125, 0.125, 0.318), Ca at (0.125, 0.125, 0.125), Co at (0.125, 0.125, 0.625) and O at (0.077, 0.282, 0.835).